# 1
## InTe2WN (PBE)

Data for an optimized crystal structure of InTe2WN.

Results
Fermi-level density of states = 2.9 states/eV/cell
raw total energy = -4.3670 eV/atom
E_form (uncorrected) = 1.693 eV per atom
theoretical density = 7.265 g cm⁻³

Cell lengths 5.7045, 5.7045, 3.9887 Å; angles 90.00, 90.00, 90.00 degrees
Last column: magnetic moment on the atom in μB.
Element x y z (fractional)
N  0.0000  0.0000  0.5000  0.82
Te  0.0000  0.5000  0.0000  -0.08
Te  0.5000  0.0000  0.0000  -0.08
W  0.5000  0.5000  0.5000  2.85
In  0.0000  0.0000  0.0000  0.01

---

# 2
## Pr2GdCd (PBE)

Data for an optimized crystal structure of Pr2GdCd.

Results
Fermi-level density of states = 6.1 states/eV/cell
raw total energy = -6.1956 eV/atom
theoretical density = 7.365 g cm⁻³

Cell lengths 5.6023, 5.6023, 5.6023 Å; angles 60.00, 60.00, 60.00 degrees
Last column: magnetic moment on the atom in μB.
Element x y z (fractional)
Pr  0.2500  0.2500  0.2500  0.08
Pr  0.7500  0.7500  0.7500  0.08
Gd  0.5000  0.5000  0.5000  7.27
Cd  0.0000  0.0000  0.0000  -0.02